## Pr2SmDy5Tm (PBE)

Data for Pr2SmDy5Tm after structural relaxation.

a b c (Å): 9.9788 9.9788 9.9788
angles (deg): 128.45 128.45 75.90
Positions (direct):
1 Pr 0.1183 0.6183 0.7365
2 Pr 0.3817 0.1183 0.5000
3 Pr 0.6183 0.8817 0.5000
4 Pr 0.8817 0.3817 0.2635
5 Sm 0.2500 0.2500 0.0000
6 Sm 0.7500 0.7500 0.0000
7 Dy 0.0000 0.0000 0.0000
8 Dy 0.0722 0.1471 0.5000
9 Dy 0.1471 0.6471 0.0749
10 Dy 0.3529 0.4278 0.5000
11 Dy 0.4278 0.9278 0.0749
12 Dy 0.5000 0.5000 0.0000
13 Dy 0.5722 0.0722 0.9251
14 Dy 0.6471 0.5722 0.5000
15 Dy 0.8529 0.3529 0.9251
16 Dy 0.9278 0.8529 0.5000
17 Tm 0.2500 0.7500 0.5000
18 Tm 0.7500 0.2500 0.5000

Summary:
**Calculated formation energy**: 272 meV per atom